Below is a relaxed structure of BaRe2O4, with properties calculated at the PBE level.

Output
Crystal system: cubic
Space group: Fd-3m (227)
Electronic total energy: -108.81 eV for the cell shown

a b c (Å): 6.637 6.637 6.637
angles (deg): 60.00 60.00 60.00
Atoms (fractional coordinates):
Ba: 0.125 0.125 0.125
Ba: 0.875 0.875 0.875
Re: 0.000 0.500 0.500
Re: 0.500 0.000 0.500
Re: 0.500 0.500 0.000
Re: 0.500 0.500 0.500
O: 0.279 0.279 0.279
O: 0.279 0.279 0.662
O: 0.279 0.662 0.279
O: 0.338 0.721 0.721
O: 0.662 0.279 0.279
O: 0.721 0.338 0.721
O: 0.721 0.721 0.338
O: 0.721 0.721 0.721

Below is a relaxed structure of TbTmPd6, with properties calculated at the PBE level.

Output
ΔE_f: -7.2 eV per formula unit
Crystal system: tetragonal
Space group: P4/mmm (123)

a b c (Å): 4.102 4.102 8.198
angles (deg): 90.00 90.00 90.00
Atoms (fractional coordinates):
Tb: 0.000 0.000 0.000
Tm: 0.000 0.000 0.500
Pd: 0.000 0.500 0.253
Pd: 0.000 0.500 0.747
Pd: 0.500 0.000 0.253
Pd: 0.500 0.000 0.747
Pd: 0.500 0.500 0.000
Pd: 0.500 0.500 0.500

Below is a relaxed structure of RbTe2WAuS, with properties calculated at the PBE level.

Output
Crystal system: orthorhombic
Space group: Cmcm (63)
Electronic total energy: -56.07 eV for the cell shown

a b c (Å): 8.855 8.855 9.894
angles (deg): 90.00 90.00 152.89
Atoms (fractional coordinates):
Rb: 0.229 0.771 0.750
Rb: 0.771 0.229 0.250
Te: 0.386 0.614 0.002
Te: 0.386 0.614 0.498
Te: 0.614 0.386 0.502
Te: 0.614 0.386 0.998
W: 0.000 0.000 0.000
W: 0.000 0.000 0.500
Au: 0.448 0.552 0.250
Au: 0.552 0.448 0.750
S: 0.037 0.963 0.250
S: 0.963 0.037 0.750

Below is a relaxed structure of ScFeBiIr, with properties calculated at the PBE level.

Output
Crystal system: cubic
Space group: F-43m (216)
Electronic total energy: -109.32 eV for the cell shown

a b c (Å): 6.541 6.541 6.541
angles (deg): 90.00 90.00 90.00
Atoms (fractional coordinates):
Sc: 0.000 0.000 0.000
Sc: 0.000 0.500 0.500
Sc: 0.500 0.000 0.500
Sc: 0.500 0.500 0.000
Fe: 0.000 0.000 0.500
Fe: 0.000 0.500 0.000
Fe: 0.500 0.000 0.000
Fe: 0.500 0.500 0.500
Bi: 0.250 0.250 0.250
Bi: 0.250 0.750 0.750
Bi: 0.750 0.250 0.750
Bi: 0.750 0.750 0.250
Ir: 0.250 0.250 0.750
Ir: 0.250 0.750 0.250
Ir: 0.750 0.250 0.250
Ir: 0.750 0.750 0.750

Below is a relaxed structure of NaUAg, with properties calculated at the PBE level.

Output
Crystal system: cubic
Space group: F-43m (216)
Electronic total energy: -45.99 eV for the cell shown

a b c (Å): 6.877 6.877 6.877
angles (deg): 90.00 90.00 90.00
Atoms (fractional coordinates):
Na: 0.000 0.000 0.000
Na: 0.000 0.500 0.500
Na: 0.500 0.000 0.500
Na: 0.500 0.500 0.000
U: 0.250 0.250 0.250
U: 0.250 0.750 0.750
U: 0.750 0.250 0.750
U: 0.750 0.750 0.250
Ag: 0.250 0.250 0.750
Ag: 0.250 0.750 0.250
Ag: 0.750 0.250 0.250
Ag: 0.750 0.750 0.750

Below is a relaxed structure of K2RbP2Pd3, with properties calculated at the PBE level.

Output
Crystal system: trigonal
Space group: R-3m (166)
Electronic total energy: -33.01 eV for the cell shown

a b c (Å): 7.624 7.624 7.624
angles (deg): 44.81 44.81 44.81
Atoms (fractional coordinates):
K: 0.088 0.088 0.088
K: 0.912 0.912 0.912
Rb: 0.500 0.500 0.500
P: 0.253 0.253 0.253
P: 0.747 0.747 0.747
Pd: 0.000 0.500 0.500
Pd: 0.500 0.000 0.500
Pd: 0.500 0.500 0.000

Below is a relaxed structure of DyGeW, with properties calculated at the PBE level.

Output
Crystal system: cubic
Space group: F-43m (216)
Electronic total energy: -85.01 eV for the cell shown

a b c (Å): 6.366 6.366 6.366
angles (deg): 90.00 90.00 90.00
Atoms (fractional coordinates):
Dy: 0.000 0.000 0.000
Dy: 0.000 0.500 0.500
Dy: 0.500 0.000 0.500
Dy: 0.500 0.500 0.000
Ge: 0.250 0.250 0.250
Ge: 0.250 0.750 0.750
Ge: 0.750 0.250 0.750
Ge: 0.750 0.750 0.250
W: 0.000 0.000 0.500
W: 0.000 0.500 0.000
W: 0.500 0.000 0.000
W: 0.500 0.500 0.500

Below is a relaxed structure of NaSmZnTe3, with properties calculated at the PBE level.

Output
Crystal system: monoclinic
Space group: C2/m (12)
Electronic total energy: -44.05 eV for the cell shown

a b c (Å): 10.608 10.608 8.653
angles (deg): 102.65 102.65 23.86
Atoms (fractional coordinates):
Na: 0.116 0.116 0.067
Na: 0.884 0.884 0.933
Sm: 0.171 0.171 0.576
Sm: 0.829 0.829 0.424
Zn: 0.460 0.460 0.274
Zn: 0.540 0.540 0.726
Te: 0.000 0.000 0.500
Te: 0.323 0.323 0.671
Te: 0.331 0.331 0.168
Te: 0.500 0.500 0.000
Te: 0.669 0.669 0.832
Te: 0.677 0.677 0.329

Below is a relaxed structure of GdDy3C2S2, with properties calculated at the PBE level.

Output
Crystal system: trigonal
Space group: P3m1 (156)
Electronic total energy: -55.10 eV for the cell shown

a b c (Å): 3.717 3.717 12.954
angles (deg): 90.00 90.00 120.00
Atoms (fractional coordinates):
Gd: 0.000 0.000 0.000
Dy: 0.000 0.000 0.708
Dy: 0.333 0.667 0.210
Dy: 0.333 0.667 0.500
C: 0.667 0.333 0.106
C: 0.667 0.333 0.604
S: 0.000 0.000 0.355
S: 0.333 0.667 0.853

Below is a relaxed structure of Pr2Nb, with properties calculated at the PBE level.

Output
ΔE_f: 3.2 eV per formula unit
Crystal system: cubic
Space group: Fd-3m (227)

a b c (Å): 6.239 6.239 6.239
angles (deg): 60.00 60.00 60.00
Atoms (fractional coordinates):
Pr: 0.000 0.000 0.000
Pr: 0.000 0.000 0.500
Pr: 0.000 0.500 0.000
Pr: 0.500 0.000 0.000
Nb: 0.375 0.375 0.375
Nb: 0.625 0.625 0.625

Below is a relaxed structure of ErTaBi, with properties calculated at the PBE level.

Output
Crystal system: cubic
Space group: F-43m (216)
Electronic total energy: -75.16 eV for the cell shown

a b c (Å): 6.874 6.874 6.874
angles (deg): 90.00 90.00 90.00
Atoms (fractional coordinates):
Er: 0.000 0.000 0.000
Er: 0.000 0.500 0.500
Er: 0.500 0.000 0.500
Er: 0.500 0.500 0.000
Ta: 0.000 0.000 0.500
Ta: 0.000 0.500 0.000
Ta: 0.500 0.000 0.000
Ta: 0.500 0.500 0.500
Bi: 0.250 0.250 0.250
Bi: 0.250 0.750 0.750
Bi: 0.750 0.250 0.750
Bi: 0.750 0.750 0.250

Below is a relaxed structure of TmAgPbSe3, with properties calculated at the PBE level.

Output
Crystal system: orthorhombic
Space group: Pnma (62)
Electronic total energy: -108.66 eV for the cell shown

a b c (Å): 10.693 4.120 13.707
angles (deg): 90.00 90.00 90.00
Atoms (fractional coordinates):
Tm: 0.016 0.250 0.245
Tm: 0.484 0.750 0.745
Tm: 0.516 0.250 0.255
Tm: 0.984 0.750 0.755
Ag: 0.239 0.250 0.717
Ag: 0.261 0.750 0.217
Ag: 0.739 0.250 0.783
Ag: 0.761 0.750 0.283
Pb: 0.229 0.750 0.508
Pb: 0.271 0.250 0.008
Pb: 0.729 0.750 0.992
Pb: 0.771 0.250 0.492
Se: 0.033 0.250 0.612
Se: 0.065 0.750 0.105
Se: 0.235 0.750 0.841
Se: 0.265 0.250 0.341
Se: 0.435 0.250 0.605
Se: 0.467 0.750 0.112
Se: 0.533 0.250 0.888
Se: 0.565 0.750 0.395
Se: 0.735 0.750 0.659
Se: 0.765 0.250 0.159
Se: 0.935 0.250 0.895
Se: 0.967 0.750 0.388

Below is a relaxed structure of HIr5, with properties calculated at the PBE level.

Output
Crystal system: hexagonal
Space group: P6/mmm (191)
Electronic total energy: -41.14 eV for the cell shown

a b c (Å): 5.042 5.042 4.507
angles (deg): 90.00 90.00 120.00
Atoms (fractional coordinates):
H: 0.000 0.000 0.000
Ir: 0.000 0.500 0.500
Ir: 0.333 0.667 0.000
Ir: 0.500 0.000 0.500
Ir: 0.500 0.500 0.500
Ir: 0.667 0.333 0.000